Crystalline Be2InCoCl at its relaxed geometry. Source: Alexandria via LeMat-Bulk, functional GGA-PBEsol.

Summary:
The theoretical density is 3.4 g/cm3. For the total energy, the calculation gives -13.9 eV for the cell shown. The raw formation energy comes out at 31.43 kcal/mol of atoms. The space-group type is No. 123. The value obtained for the total magnetic moment is 0.45 μB/atom.

Geometry as CIF:
```
data_Be2InCoCl
_chemical_formula_sum 'Be2 In1 Co1 Cl1'
_symmetry_space_group_name_H-M 'P 1'
_symmetry_Int_Tables_number 1
_cell_length_a 4.4951
_cell_length_b 4.4951
_cell_length_c 5.4753
_cell_angle_alpha 90.00
_cell_angle_beta 90.00
_cell_angle_gamma 90.00
loop_
_symmetry_equiv_pos_as_xyz
'x,y,z'
loop_
_atom_site_label
_atom_site_type_symbol
_atom_site_fract_x
_atom_site_fract_y
_atom_site_fract_z
Be1 Be 0.0000 0.5000 0.0000
Be2 Be 0.5000 0.0000 0.0000
Cl1 Cl 0.0000 0.0000 0.5000
Co1 Co 0.5000 0.5000 0.5000
In1 In 0.0000 0.0000 0.0000
```